Entry 1:
# Tl3Cu2Se4

A geometry-optimized Tl3Cu2Se4 structure (PBE, Alexandria via LeMat-Bulk).

a b c (Å): 4.0855 7.4655 9.1526
angles (deg): 117.72 102.98 89.93
Atoms (fractional coordinates):
Se 0.4643 0.3099 0.9302
Se 0.1967 0.1501 0.3961
Se 0.5357 0.6901 0.0698
Se 0.8033 0.8499 0.6039
Tl 0.0000 0.0000 0.0000
Tl 0.1470 0.5538 0.2927
Tl 0.8530 0.4462 0.7073
Cu 0.3108 0.0421 0.6200
Cu 0.6892 0.9579 0.3800

energy relative to the elements, uncorrected = -220 meV per atom
crystal system = triclinic
density of states at the Fermi level = 4.9 states/eV per cell

Entry 2:
# Tl3Cu4Se4

A geometry-optimized Tl3Cu4Se4 structure (PBE, Alexandria via LeMat-Bulk).

a b c (Å): 6.8552 6.8552 6.8552
angles (deg): 109.47 109.47 109.47
Atoms (fractional coordinates):
Tl 0.0000 0.5000 0.5000
Tl 0.5000 0.0000 0.5000
Tl 0.5000 0.5000 0.0000
Se 0.3394 0.3394 0.3394
Se 0.6606 0.0000 0.0000
Se 0.0000 0.6606 0.0000
Se 0.0000 0.0000 0.6606
Cu 0.3044 0.0000 0.0000
Cu 0.6956 0.6956 0.6956
Cu 0.0000 0.3044 0.0000
Cu 0.0000 0.0000 0.3044

energy relative to the elements, uncorrected = -181 meV per atom
crystal system = cubic
density of states at the Fermi level = 8.1 states/eV per cell

Entry 3:
# Tl3CuSe

A geometry-optimized Tl3CuSe structure (PBE, Alexandria via LeMat-Bulk).

a b c (Å): 5.2237 5.2237 5.2237
angles (deg): 90.00 90.00 90.00
Atoms (fractional coordinates):
Tl 0.5000 0.0000 0.0000
Tl 0.0000 0.0000 0.5000
Tl 0.0000 0.5000 0.0000
Cu 0.0000 0.0000 0.0000
Se 0.5000 0.5000 0.5000

energy relative to the elements, uncorrected = 37 meV per atom
crystal system = cubic
density of states at the Fermi level = 0.9 states/eV per cell

Entry 4:
# TlCu2Se

A geometry-optimized TlCu2Se structure (PBE, Alexandria via LeMat-Bulk).

a b c (Å): 6.0761 6.0761 6.8736
angles (deg): 63.77 63.77 90.00
Atoms (fractional coordinates):
Tl 0.7500 0.2500 0.5000
Tl 0.0000 0.0000 0.0000
Cu 0.5602 0.1250 0.2500
Cu 0.8750 0.8102 0.7500
Cu 0.3750 0.4398 0.7500
Cu 0.1898 0.6250 0.2500
Se 0.5000 0.5000 0.0000
Se 0.2500 0.7500 0.5000

energy relative to the elements, uncorrected = 144 meV per atom
crystal system = tetragonal
density of states at the Fermi level = 6.4 states/eV per cell

Entry 5:
# TlCu3Se

A geometry-optimized TlCu3Se structure (PBE, Alexandria via LeMat-Bulk).

a b c (Å): 4.8953 4.8953 4.8953
angles (deg): 90.00 90.00 90.00
Atoms (fractional coordinates):
Cu 0.0000 0.0000 0.5000
Cu 0.5000 0.0000 0.0000
Cu 0.0000 0.5000 0.0000
Tl 0.0000 0.0000 0.0000
Se 0.5000 0.5000 0.5000

energy relative to the elements, uncorrected = 1025 meV per atom
crystal system = cubic
density of states at the Fermi level = 3.1 states/eV per cell

Entry 6:
# Tl5Cu14Se10

A geometry-optimized Tl5Cu14Se10 structure (PBE, Alexandria via LeMat-Bulk).

a b c (Å): 9.5012 9.5012 18.5479
angles (deg): 62.31 62.31 23.79
Atoms (fractional coordinates):
Tl 0.2229 0.2229 0.8217
Tl 0.0000 0.0000 0.0000
Tl 0.7771 0.7771 0.1783
Tl 0.1120 0.1120 0.3993
Tl 0.8880 0.8880 0.6007
Cu 0.0245 0.0245 0.7842
Cu 0.6345 0.6345 0.6865
Cu 0.0891 0.0891 0.6201
Cu 0.1915 0.1915 0.0469
Cu 0.5230 0.5230 0.2826
Cu 0.3043 0.3043 0.4688
Cu 0.9755 0.9755 0.2158
Cu 0.9109 0.9109 0.3799
Cu 0.6957 0.6957 0.5312
Cu 0.4201 0.4201 0.8728
Cu 0.3655 0.3655 0.3135
Cu 0.5799 0.5799 0.1272
Cu 0.8085 0.8085 0.9531
Cu 0.4770 0.4770 0.7174
Se 0.7742 0.7742 0.3837
Se 0.4297 0.4297 0.1676
Se 0.3362 0.3362 0.0197
Se 0.4549 0.4549 0.4302
Se 0.2258 0.2258 0.6163
Se 0.6638 0.6638 0.9803
Se 0.8863 0.8863 0.7939
Se 0.1137 0.1137 0.2061
Se 0.5703 0.5703 0.8324
Se 0.5451 0.5451 0.5698

energy relative to the elements, uncorrected = -206 meV per atom
crystal system = monoclinic
density of states at the Fermi level = 8.3 states/eV per cell

Entry 7:
# TlCu2Se2

A geometry-optimized TlCu2Se2 structure (PBE, Alexandria via LeMat-Bulk).

a b c (Å): 3.8751 3.8751 7.7482
angles (deg): 75.52 75.52 90.00
Atoms (fractional coordinates):
Cu 0.7500 0.2500 0.5000
Cu 0.2500 0.7500 0.5000
Se 0.6438 0.6438 0.7125
Se 0.3562 0.3562 0.2875
Tl 0.0000 0.0000 0.0000

energy relative to the elements, uncorrected = -254 meV per atom
crystal system = tetragonal
density of states at the Fermi level = 2.4 states/eV per cell

Entry 8:
# Tl2CuSe

A geometry-optimized Tl2CuSe structure (PBE, Alexandria via LeMat-Bulk).

a b c (Å): 7.7398 7.7398 7.7398
angles (deg): 30.49 30.49 30.49
Atoms (fractional coordinates):
Se 0.7803 0.7803 0.7803
Cu 0.4775 0.4775 0.4775
Tl 0.0146 0.0146 0.0146
Tl 0.2276 0.2276 0.2276

energy relative to the elements, uncorrected = -117 meV per atom
crystal system = trigonal
density of states at the Fermi level = 1.8 states/eV per cell

Entry 9:
# Tl2CuSe

A geometry-optimized Tl2CuSe structure (PBE, Alexandria via LeMat-Bulk).

a b c (Å): 3.5394 3.5394 8.2192
angles (deg): 90.00 90.00 90.00
Atoms (fractional coordinates):
Tl 0.5000 0.5000 0.2837
Tl 0.0000 0.0000 0.9608
Cu 0.0000 0.0000 0.6069
Se 0.5000 0.5000 0.6485

energy relative to the elements, uncorrected = -10 meV per atom
crystal system = tetragonal
density of states at the Fermi level = 2.3 states/eV per cell

Entry 10:
# Tl2CuSe

A geometry-optimized Tl2CuSe structure (PBE, Alexandria via LeMat-Bulk).

a b c (Å): 4.1204 5.2504 5.5090
angles (deg): 64.70 90.00 90.00
Atoms (fractional coordinates):
Tl 0.0000 0.9656 0.9523
Tl 0.5000 0.3161 0.3232
Se 0.5000 0.6655 0.6890
Cu 0.0000 0.5528 0.5355

energy relative to the elements, uncorrected = -106 meV per atom
crystal system = monoclinic
density of states at the Fermi level = 1.1 states/eV per cell

Entry 11:
# Tl4CuSe4

A geometry-optimized Tl4CuSe4 structure (PBE, Alexandria via LeMat-Bulk).

a b c (Å): 7.2749 7.2749 7.7941
angles (deg): 117.82 117.82 90.00
Atoms (fractional coordinates):
Se 0.0966 0.0966 0.7830
Se 0.6864 0.6864 0.7830
Se 0.3136 0.9034 0.2170
Se 0.9034 0.3136 0.2170
Cu 0.0000 0.0000 0.0000
Tl 0.2994 0.2994 0.5989
Tl 0.0000 0.5000 0.0000
Tl 0.5000 0.0000 0.0000
Tl 0.7006 0.7006 0.4011

energy relative to the elements, uncorrected = -207 meV per atom
crystal system = tetragonal
density of states at the Fermi level = 6.2 states/eV per cell

Entry 12:
# Tl2CuSe

A geometry-optimized Tl2CuSe structure (PBE, Alexandria via LeMat-Bulk).

a b c (Å): 4.8073 4.8057 4.2787
angles (deg): 90.00 90.00 90.00
Atoms (fractional coordinates):
Tl 0.5000 0.5000 0.0000
Tl 0.0000 0.0000 0.0000
Se 0.0000 0.5000 0.5000
Cu 0.5000 0.0000 0.5000

energy relative to the elements, uncorrected = 165 meV per atom
crystal system = tetragonal
density of states at the Fermi level = 1.2 states/eV per cell

Number 1: magnetization 0.00 μB/f.u.. Number 2: magnetization 0.00 μB/f.u.. Number 3: magnetization 0.00 μB/f.u.. Number 4: magnetization 0.00 μB/f.u.. Number 5: magnetization 0.00 μB/f.u.. Number 6: magnetization 0.00 μB/f.u.. Number 7: magnetization 0.00 μB/f.u.. Number 8: magnetization 0.00 μB/f.u.. Number 9: magnetization 0.00 μB/f.u.. Number 10: magnetization 0.00 μB/f.u.. Number 11: magnetization 0.00 μB/f.u.. Number 12: magnetization 0.00 μB/f.u..